Entry 1:
The following is a GGA-PBE calculation of a relaxed structure of Y3Cr, from the Alexandria database.

a = 3.632 Å, b = 3.632 Å, c = 8.504 Å
α = 90.00°, β = 90.00°, γ = 89.96°
Each line ends with the local moment (μB).
Positions (direct):
Y 0.500 0.500 0.798  -0.04
Cr 0.000 0.000 0.000  3.33
Y 0.000 0.000 0.500  0.20
Y 0.500 0.500 0.202  -0.04

Computed properties:
* calculated density: 4.72 Mg/m³
* total DFT energy (no corrections): -28.15 eV/cell
* space-group type: P4/mmm, No. 123
* calculated formation energy: 0.869 eV/f.u.

---

Entry 2:
The following is a GGA-PBE calculation of a relaxed structure of YCr2, from the Alexandria database.

a = 6.746 Å, b = 6.746 Å, c = 6.746 Å
α = 90.00°, β = 90.00°, γ = 90.00°
Each line ends with the local moment (μB).
Positions (direct):
Cr 0.615 0.885 0.115  3.76
Cr 0.615 0.615 0.615  3.76
Cr 0.115 0.615 0.885  3.76
Y 0.500 0.500 0.000  0.33
Y 0.500 0.000 0.500  0.33
Y 0.000 0.000 0.000  0.33
Y 0.000 0.500 0.500  0.33
Cr 0.885 0.115 0.615  3.76
Cr 0.385 0.115 0.885  3.76
Cr 0.885 0.385 0.115  3.76
Cr 0.385 0.385 0.385  3.76
Cr 0.115 0.885 0.385  3.76

Computed properties:
* calculated density: 4.17 Mg/m³
* total DFT energy (no corrections): -83.28 eV/cell
* space-group type: Pa-3, No. 205
* calculated formation energy: 4.891 eV/f.u.

---

Entry 3:
The following is a GGA-PBE calculation of a relaxed structure of YCr, from the Alexandria database.

a = 17.037 Å, b = 3.317 Å, c = 4.825 Å
α = 90.00°, β = 90.00°, γ = 90.00°
Each line ends with the local moment (μB).
Positions (direct):
Cr 0.000 0.000 0.500  3.10
Cr 0.293 0.000 0.000  -0.01
Cr 0.707 0.000 0.000  -0.01
Y 0.664 0.500 0.500  -0.02
Y 0.500 0.000 0.000  -0.14
Y 0.336 0.500 0.500  -0.02
Y 0.836 0.000 0.500  -0.02
Cr 0.207 0.500 0.000  -0.01
Y 0.000 0.500 0.000  -0.14
Y 0.164 0.000 0.500  -0.02
Cr 0.793 0.500 0.000  -0.01
Cr 0.500 0.500 0.500  3.10

Computed properties:
* calculated density: 5.15 Mg/m³
* total DFT energy (no corrections): -89.60 eV/cell
* space-group type: Cmmm, No. 65
* calculated formation energy: 1.154 eV/f.u.

---

Entry 4:
The following is a GGA-PBE calculation of a relaxed structure of Y3Cr, from the Alexandria database.

a = 5.375 Å, b = 5.375 Å, c = 5.375 Å
α = 90.00°, β = 90.00°, γ = 90.00°
Each line ends with the local moment (μB).
Positions (direct):
Y 0.000 0.500 0.000  -0.04
Cr 0.000 0.000 0.000  1.90
Y 0.000 0.000 0.500  -0.04
Y 0.500 0.000 0.000  -0.04

Computed properties:
* calculated density: 3.41 Mg/m³
* total DFT energy (no corrections): -25.89 eV/cell
* space-group type: Pm-3m, No. 221
* calculated formation energy: 3.122 eV/f.u.

---

Entry 5:
The following is a GGA-PBE calculation of a relaxed structure of Y4Cr3, from the Alexandria database.

a = 5.751 Å, b = 5.751 Å, c = 6.179 Å
α = 90.00°, β = 90.00°, γ = 120.00°
Each line ends with the local moment (μB).
Positions (direct):
Y 0.667 0.333 0.500  0.15
Y 0.000 0.000 0.754  0.06
Y 0.000 0.000 0.246  0.06
Cr 0.000 0.500 0.000  3.48
Cr 0.500 0.500 0.000  3.48
Y 0.333 0.667 0.500  0.15
Cr 0.500 0.000 0.000  3.48

Computed properties:
* calculated density: 4.80 Mg/m³
* energy above the lowest structure with this stoichiometry: 58 meV/atom
* total DFT energy (no corrections): -50.90 eV/cell
* space-group type: P6/mmm, No. 191
* calculated formation energy: 3.830 eV/f.u.

---

Entry 6:
The following is a GGA-PBE calculation of a relaxed structure of YCr5, from the Alexandria database.

a = 5.069 Å, b = 5.069 Å, c = 6.547 Å
α = 74.52°, β = 74.52°, γ = 34.17°
Each line ends with the local moment (μB).
Positions (direct):
Cr 0.961 0.961 0.545  0.30
Cr 0.334 0.334 0.371  -0.82
Cr 0.637 0.637 0.617  0.12
Cr 0.636 0.636 0.299  -0.19
Y 0.286 0.286 0.895  0.00
Cr 0.979 0.979 0.106  2.15

Computed properties:
* calculated density: 6.39 Mg/m³
* total DFT energy (no corrections): -51.58 eV/cell
* space-group type: Cm, No. 8
* calculated formation energy: 2.998 eV/f.u.